[1]
ZrCuOs2 | PBE | optimized geometry

Summary:
Formation enthalpy at 0 K (eV/atom): 0.11
Symmetry: P2/m

POSCAR file:
```
ZrCuOs2
1.0
-1.293 -2.861 3.270
2.431 -1.300 -0.176
2.311 2.852 3.410
Os Zr Cu
2 1 1
direct
0.000 0.960 0.977
0.000 0.540 0.523
0.500 0.250 0.250
0.500 0.750 0.750
```

***

[2]
Zr6CuOs5 | PBE | optimized geometry

Summary:
Formation enthalpy at 0 K (eV/atom): -0.47
Symmetry: Immm

POSCAR file:
```
Zr6CuOs5
1.0
-3.268 2.662 2.009
-4.649 -3.274 -3.226
3.499 -4.253 5.899
Cu Zr Os
1 6 5
direct
0.000 0.000 0.000
0.500 0.249 0.000
0.167 0.917 0.333
0.833 0.083 0.667
0.500 0.751 0.000
0.167 0.416 0.333
0.833 0.584 0.667
0.334 0.334 0.667
0.666 0.666 0.333
0.667 0.167 0.334
0.000 0.500 0.000
0.333 0.833 0.666
```

***

[3]
ZrCuOs2 | PBE | optimized geometry

Summary:
Formation enthalpy at 0 K (eV/atom): 0.08
Symmetry: C2/m

POSCAR file:
```
ZrCuOs2
1.0
4.762 0.001 0.004
3.842 2.813 0.004
1.012 0.331 4.686
Os Zr Cu
2 1 1
direct
0.993 0.993 0.029
0.507 0.507 0.471
0.750 0.750 0.750
0.250 0.250 0.250
```

***

Asked for theoretical density across the records above, the calculation gives 14.229, 12.139, 14.162 g cm⁻³ in order.